Record 1
A geometry-optimized Li2CeMg9 structure, computed with PBE.

Size of the total moment: 1.218 μB/f.u.
ρ: 2.26 g cm⁻³
DOS at the Fermi energy: 10.143 states/eV per cell
Formation enthalpy at 0 K: -0.023 eV/atom

Unit cell a=3.124 b=10.061 c=10.061 alpha=120.00 beta=90.00 gamma=90.00
Site moments in Bohr magnetons follow the coordinates.
Sites, in units of the cell vectors:
1 Li 0.000 0.333 0.667  0.00
2 Li 0.000 0.667 0.333  0.00
3 Ce 0.000 0.000 0.000  0.96
4 Mg 0.000 0.000 0.500  0.00
5 Mg 0.000 0.500 0.500  0.00
6 Mg 0.000 0.500 0.000  0.00
7 Mg 0.500 0.359 0.180  0.00
8 Mg 0.500 0.180 0.820  0.00
9 Mg 0.500 0.180 0.359  0.00
10 Mg 0.500 0.820 0.641  0.00
11 Mg 0.500 0.820 0.180  0.00
12 Mg 0.500 0.641 0.820  0.00

=====

Record 2
A geometry-optimized Li2CeMg6 structure, computed with PBE.

Size of the total moment: 1.045 μB/f.u.
ρ: 2.31 g cm⁻³
DOS at the Fermi energy: 9.605 states/eV per cell
Formation enthalpy at 0 K: 0.026 eV/atom

Unit cell a=3.066 b=9.032 c=11.784 alpha=112.54 beta=130.21 gamma=90.00
Site moments in Bohr magnetons follow the coordinates.
Sites, in units of the cell vectors:
1 Li 0.757 0.652 0.305  0.00
2 Li 0.243 0.348 0.695  0.00
3 Ce 0.000 0.000 0.000  0.88
4 Mg 0.637 0.653 0.655  0.00
5 Mg 0.363 0.347 0.345  0.00
6 Mg 0.363 0.998 0.345  0.00
7 Mg 0.500 0.335 0.000  0.00
8 Mg 0.500 0.665 0.000  0.00
9 Mg 0.637 0.002 0.655  0.00

=====

Record 3
A geometry-optimized LiCeMg14 structure, computed with PBE.

Size of the total moment: 1.094 μB/f.u.
ρ: 2.16 g cm⁻³
DOS at the Fermi energy: 12.853 states/eV per cell
ΔE to the lowest computed polymorph: 0 meV per atom
Formation enthalpy at 0 K: 0.021 eV/atom

Unit cell a=7.349 b=7.349 c=6.950 alpha=90.00 beta=90.00 gamma=90.00
Site moments in Bohr magnetons follow the coordinates.
Sites, in units of the cell vectors:
1 Li 0.375 0.375 0.500  0.00
2 Ce 0.875 0.875 0.500  0.89
3 Mg 0.875 0.875 0.000  0.00
4 Mg 0.375 0.375 0.000  0.00
5 Mg 0.875 0.375 0.500  0.00
6 Mg 0.875 0.375 0.000  0.00
7 Mg 0.375 0.875 0.500  0.00
8 Mg 0.375 0.875 0.000  0.00
9 Mg 0.614 0.136 0.247  0.00
10 Mg 0.614 0.136 0.753  0.00
11 Mg 0.136 0.614 0.247  0.00
12 Mg 0.136 0.614 0.753  0.00
13 Mg 0.614 0.614 0.247  0.00
14 Mg 0.614 0.614 0.753  0.00
15 Mg 0.136 0.136 0.247  0.00
16 Mg 0.136 0.136 0.753  0.00

=====

Record 4
A geometry-optimized Li2CeMg structure, computed with PBE.

Size of the total moment: 0.021 μB/f.u.
ρ: 3.32 g cm⁻³
DOS at the Fermi energy: 5.888 states/eV per cell
ΔE to the lowest computed polymorph: 0 meV per atom
Formation enthalpy at 0 K: 0.075 eV/atom

Unit cell a=3.072 b=3.072 c=11.057 alpha=82.01 beta=82.01 gamma=60.00
Sites, in units of the cell vectors:
1 Li 0.077 0.077 0.768
2 Li 0.256 0.256 0.232
3 Ce 0.500 0.500 0.500
4 Mg 0.667 0.667 0.000

=====

Record 5
A geometry-optimized LiCeMg2 structure, computed with PBE.

Size of the total moment: 0.506 μB/f.u.
ρ: 3.53 g cm⁻³
DOS at the Fermi energy: 5.519 states/eV per cell
ΔE to the lowest computed polymorph: 0 meV per atom
Formation enthalpy at 0 K: -0.007 eV/atom

Unit cell a=3.158 b=3.158 c=9.238 alpha=90.00 beta=90.00 gamma=90.00
Site moments in Bohr magnetons follow the coordinates.
Sites, in units of the cell vectors:
1 Mg 0.000 0.000 0.781  0.00
2 Mg 0.000 0.000 0.219  0.00
3 Ce 0.500 0.500 0.500  0.44
4 Li 0.500 0.500 0.000  0.00

=====

Record 6
A geometry-optimized LiCeMg11 structure, computed with PBE.

Size of the total moment: 1.263 μB/f.u.
ρ: 2.24 g cm⁻³
DOS at the Fermi energy: 13.774 states/eV per cell
Formation enthalpy at 0 K: -0.013 eV/atom

Unit cell a=5.776 b=7.797 c=7.831 alpha=82.51 beta=68.36 gamma=69.29
Site moments in Bohr magnetons follow the coordinates.
Sites, in units of the cell vectors:
1 Li 0.500 0.500 0.000  0.00
2 Ce 0.000 0.000 0.000  1.00
3 Mg 0.294 0.216 0.211  0.00
4 Mg 0.706 0.784 0.789  0.00
5 Mg 0.495 0.784 0.211  0.00
6 Mg 0.505 0.216 0.789  0.00
7 Mg 0.352 0.646 0.651  0.00
8 Mg 0.648 0.354 0.349  0.00
9 Mg 0.998 0.354 0.651  0.00
10 Mg 0.002 0.646 0.349  0.00
11 Mg 0.000 0.500 0.000  0.00
12 Mg 0.500 0.000 0.500  0.00
13 Mg 0.000 0.000 0.500  0.00